1.
6
Lattice="2.8386 0.0000 0.0000 0.0000 3.9591 0.0000 0.0000 0.0000 5.6975" Properties=species:S:1:pos:R:3 comment="TcHPd (PBE, optimized geometry)" total_energy_ev_per_atom=-6.27 pbc="T T T"
Tc 0.0000 0.0000 0.0000
Tc 1.4193 1.9795 1.2557
H 0.0000 1.9795 2.5548
H 1.4193 0.0000 1.2816
Pd 0.0000 0.0000 2.8723
Pd 1.4193 1.9795 4.2730

2.
12
Lattice="3.3601 0.0000 0.0000 -1.6801 2.9100 0.0000 0.0000 0.0000 31.4653" Properties=species:S:1:pos:R:3 comment="Er2AlCl (PBE, optimized geometry)" formation_energy_uncorrected_kj_per_mol_fu=-121 pbc="T T T"
Er 0.0000 0.0000 3.0167
Er 0.0000 0.0000 28.4486
Er 0.0000 1.9400 17.9602
Er 0.0000 1.9400 23.9935
Er 1.6801 0.9700 7.4718
Er 1.6801 0.9700 13.5051
Al 0.0000 0.0000 0.0000
Al 0.0000 1.9400 20.9769
Al 1.6801 0.9700 10.4884
Cl 0.0000 0.0000 15.7326
Cl 0.0000 1.9400 5.2442
Cl 1.6801 0.9700 26.2211

3.
3
Lattice="3.4878 0.0000 0.0000 -1.7439 3.0205 0.0000 0.0000 0.0000 6.8807" Properties=species:S:1:pos:R:3 comment="PSe2 (PBE, optimized geometry)" formation_energy_uncorrected_kj_per_mol_fu=9 pbc="T T T"
P 0.0000 0.0000 0.0000
Se 0.0000 2.0137 1.4911
Se 1.7439 1.0068 5.3896

4.
20
Lattice="5.8851 0.0000 0.0000 0.0000 10.2733 0.0000 0.0000 0.0000 11.2619" Properties=species:S:1:pos:R:3 comment="Ba2Hg6SbPb (PBE, optimized geometry)" formation_energy_uncorrected_kj_per_mol_fu=-264 pbc="T T T"
Ba 1.4713 0.1778 2.6154
Ba 1.4713 4.9588 2.6154
Ba 4.4138 5.3145 8.6465
Ba 4.4138 10.0955 8.6465
Hg 0.0016 2.5683 5.1993
Hg 0.0011 2.5683 11.0243
Hg 5.8840 7.7050 0.2376
Hg 5.8834 7.7050 6.0626
Hg 1.4713 0.1060 6.5312
Hg 1.4713 5.0307 6.5312
Hg 2.9409 2.5683 5.1993
Hg 2.9415 2.5683 11.0243
Hg 2.9436 7.7050 0.2376
Hg 2.9442 7.7050 6.0626
Hg 4.4138 5.2426 4.7306
Hg 4.4138 10.1673 4.7306
Sb 1.4713 7.7050 8.9856
Sb 4.4138 2.5683 2.2762
Pb 1.4713 2.5683 8.4375
Pb 4.4138 7.7050 2.8244

5.
12
Lattice="2.4854 -7.4963 0.0000 2.4854 7.4963 0.0000 0.0000 0.0000 10.0343" Properties=species:S:1:pos:R:3 comment="PrY3TmSc (PBE, optimized geometry)" e_form_ev_per_fu=0.3 pbc="T T T"
Pr 2.4854 7.4428 7.5257
Pr 2.4854 -7.4428 2.5086
Y 2.4854 4.9951 5.0243
Y 2.4854 4.9951 10.0272
Y 2.4854 2.5403 7.5257
Y 2.4854 -2.5403 2.5086
Y 2.4854 -4.9951 0.0072
Y 2.4854 -4.9951 5.0100
Tm 2.4854 0.0000 0.0000
Tm 2.4854 0.0000 5.0172
Sc 2.4854 2.5118 2.5086
Sc 2.4854 -2.5118 7.5257

6.
4
Lattice="4.8276 0.0000 0.0000 0.0000 4.8276 0.0000 0.0000 0.0000 4.4998" Properties=species:S:1:pos:R:3 comment="MgInSb2 (PBE, optimized geometry)" formation_energy_uncorrected_kj_per_mol_fu=3 pbc="T T T"
Mg 0.0000 0.0000 0.0000
In 2.4138 2.4138 0.0000
Sb 0.0000 2.4138 2.2499
Sb 2.4138 0.0000 2.2499

7.
12
Lattice="4.4386 0.0000 0.0000 0.0000 6.3295 0.0000 0.0000 0.0000 13.5318" Properties=species:S:1:pos:R:3 comment="Ce2SmTe3 (PBE, optimized geometry)" formation_energy_uncorrected_kj_per_mol_fu=-797 pbc="T T T"
Ce 0.0000 0.0000 2.2655
Ce 0.0000 0.0000 11.2664
Ce 2.2193 3.1648 4.5004
Ce 2.2193 3.1648 9.0314
Sm 0.0000 0.0000 6.7659
Sm 2.2193 3.1648 0.0000
Te 0.0000 3.1648 2.2291
Te 0.0000 3.1648 6.7659
Te 0.0000 3.1648 11.3027
Te 2.2193 0.0000 0.0000
Te 2.2193 0.0000 4.5368
Te 2.2193 0.0000 8.9950

8.
10
Lattice="4.7294 0.0000 0.0000 0.0000 4.7294 0.0000 0.0000 0.0000 10.7858" Properties=species:S:1:pos:R:3 comment="Ac2HgSb4Rh3 (PBE, optimized geometry)" formation_energy_uncorrected_kj_per_mol_fu=-677 pbc="T T T"
Ac 0.0000 2.3647 2.6485
Ac 2.3647 0.0000 8.1373
Hg 0.0000 0.0000 5.3929
Sb 0.0000 0.0000 0.0000
Sb 0.0000 2.3647 6.9388
Sb 2.3647 0.0000 3.8470
Sb 2.3647 2.3647 0.0000
Rh 0.0000 2.3647 9.5513
Rh 2.3647 0.0000 1.2345
Rh 2.3647 2.3647 5.3929